No. 1
Ba2TcHgSe6 (PBE, optimized geometry); ΔE to the lowest computed polymorph = 0.003 eV/atom; SG = C2/m
1.0
-6.0198 0.4077 -3.6789
-3.1217 -5.2649 -3.5319
0.4084 0.4359 8.7719
Ba Hg Se Tc
2 1 6 1
Cartesian
-6.8161 -3.5707 -3.4102
-1.9170 -0.8506 4.9712
0.0000 0.0000 0.0000
-2.2885 -1.1823 -0.5036
-5.7266 -1.1112 -1.0101
-4.2358 -4.0290 -0.9345
-4.4972 -0.3923 2.4956
-3.0065 -3.3101 2.5712
-6.4445 -3.2390 2.0647
-4.3665 -2.2106 0.7805

No. 2
Nd2MgO4 (PBE, optimized geometry); energy = -104.8 eV per cell; SG = C2/m
1.0
6.9208 -1.8278 0.0000
6.9208 1.8278 0.0000
-5.2292 0.0000 8.7505
Mg Nd O
2 4 8
Cartesian
10.1197 0.0000 2.3677
-1.5074 0.0000 6.3828
5.1373 0.0000 0.4783
0.4806 0.0000 2.8066
8.1318 0.0000 5.9439
3.4751 0.0000 8.2722
2.7618 0.0000 1.2956
7.2637 0.0000 1.3475
12.0140 0.0000 1.9390
8.7971 0.0000 3.7435
-0.1848 0.0000 5.0069
-3.4016 0.0000 6.8115
1.3487 0.0000 7.4030
5.8506 0.0000 7.4549

No. 3
GdLuGa2Pt4 (PBE, optimized geometry); energy = -48.0 eV per cell; SG = P-6m2
1.0
-2.2257 -3.7710 0.0831
4.3671 -0.0270 0.3298
-0.6781 0.5993 9.0292
Ga Gd Lu Pt
2 1 1 4
Cartesian
1.9990 -1.1243 2.5179
1.6619 -0.8264 7.0063
0.0000 0.0000 0.0000
-0.3671 -2.2234 4.6799
-0.1432 -2.4213 1.6980
-0.2312 0.2043 3.0782
-0.4469 0.3950 5.9509
-0.5911 -2.0255 7.6618

No. 4
Cs2AgTeBr6 (PBE, optimized geometry); energy = -26.9 eV per cell; SG = Fm-3m
1.0
0.0000 5.6556 5.6556
5.6556 0.0000 5.6556
5.6556 5.6556 0.0000
Ag Br Cs Te
1 6 2 1
Cartesian
5.6556 5.6556 5.6556
2.8538 5.6556 5.6556
5.6556 2.8538 5.6556
5.6556 5.6556 8.4574
5.6556 5.6556 2.8538
8.4574 5.6556 5.6556
5.6556 8.4574 5.6556
2.8278 2.8278 2.8278
8.4833 8.4833 8.4833
0.0000 0.0000 0.0000

No. 5
FeCoW4C2 (PBE, optimized geometry); energy = -84.0 eV per cell; SG = P-6m2
1.0
-1.5586 1.1043 2.3148
-1.3338 -1.8278 -1.9716
3.3723 -10.1151 7.0961
C Co Fe W
2 1 1 4
Cartesian
0.8421 -2.5259 1.7720
2.5302 -7.5892 5.3241
-1.4087 -0.8504 -0.5428
0.2025 -4.9306 4.4341
-0.9602 -1.4430 1.9874
-0.2455 -4.3396 1.9050
0.8003 -7.4764 4.1056
1.3652 -8.4182 6.8808

No. 6
Sm2C3 (PBE, optimized geometry); energy = -152.6 eV per cell; SG = I-43d
1.0
-4.2287 4.2287 -4.2287
4.2287 4.2287 4.2287
4.2287 -4.2287 -4.2287
C Sm
12 8
Cartesian
-1.7232 4.2287 -2.1144
-0.3912 4.2287 -2.1144
2.1144 2.5056 0.0000
2.1144 3.8375 0.0000
0.3912 0.0000 -2.1144
1.7232 0.0000 -2.1144
0.0000 2.1144 -4.6200
0.0000 2.1144 -5.9519
6.3431 0.3912 0.0000
6.3431 1.7231 0.0000
4.2287 2.1144 -2.5056
4.2287 2.1144 -3.8375
0.4344 0.4344 0.4344
2.5488 2.5488 2.5488
-1.6800 1.6800 -2.5488
1.6800 5.9087 -1.6800
3.7943 0.4344 -0.4344
1.6800 2.5488 -2.5488
0.4344 -0.4344 -4.6631
3.7943 -0.4344 -3.7943